Entry from the Alexandria database: an optimized crystal structure of MgBeMo2Pt (PBE-GGA).

a b c (Å): 4.588 4.477 4.588
angles (deg): 90.00 90.00 90.00
Last column: magnetic moment on the atom in μB.
Fractional positions:
Be 0.500 0.500 0.500  -0.02
Pt 0.000 0.500 0.000  0.04
Mg 0.000 0.000 0.000  0.02
Mo 0.500 0.000 0.000  0.83
Mo 0.000 0.000 0.500  0.68

- SG: No. 123
- Energy of formation: 1.975 eV/atom
- Calculated total energy: -4.630 eV per atom